(1)
RbBa3Na | Alexandria | PBE | relaxed; crystal system = cubic; ΔE to the lowest computed polymorph = 0.00 eV/f.u.; formation energy = 1.15 eV per formula unit; density of states at the Fermi level = 1.4149 states/eV/atom
1.0
7.1618 0.0000 0.0000
0.0000 7.1618 0.0000
0.0000 0.0000 7.1618
Ba Na Rb
3 1 1
direct
0.0000 0.5000 0.0000
0.5000 0.0000 0.0000
0.0000 0.0000 0.5000
0.0000 0.0000 0.0000
0.5000 0.5000 0.5000

(2)
RbBaNa2 | Alexandria | PBE | relaxed; crystal system = tetragonal; ΔE to the lowest computed polymorph = 0.00 eV/f.u.; formation energy = 0.10 eV per formula unit; density of states at the Fermi level = 0.6827 states/eV/atom
1.0
-2.2175 -0.4115 -3.9416
-3.6773 -1.4702 2.2223
-3.5049 10.1463 0.9127
Na Ba Rb
2 1 1
direct
0.0000 0.0000 0.7365
0.0000 0.0000 0.2635
0.5000 0.5000 0.5000
0.5000 0.5000 0.0000

(3)
RbBa2NaRh | Alexandria | PBE | relaxed; crystal system = tetragonal; ΔE to the lowest computed polymorph = 0.08 eV/f.u.; formation energy = 0.27 eV per formula unit; density of states at the Fermi level = 0.7941 states/eV/atom
1.0
-1.8741 5.7005 -0.3921
-5.6506 -1.7876 1.0187
0.9623 0.7773 6.7016
Ba Na Rb Rh
2 1 1 1
direct
0.0000 0.5000 0.0000
0.5000 0.0000 0.0000
0.5000 0.5000 0.5000
0.0000 0.0000 0.5000
0.0000 0.0000 0.0000

(4)
RbBa2NaRh | Alexandria | PBE | relaxed; crystal system = tetragonal; ΔE to the lowest computed polymorph = 0.00 eV/f.u.; formation energy = 0.19 eV per formula unit; density of states at the Fermi level = 0.6799 states/eV/atom
1.0
-0.1291 3.1081 -5.2061
-5.7371 1.6223 1.1108
2.0494 5.1693 3.0354
Rb Ba Rh Na
1 2 1 1
direct
0.5000 0.5000 0.5000
0.0000 0.5000 0.0000
0.5000 0.0000 0.0000
0.0000 0.0000 0.0000
0.0000 0.0000 0.5000

(5)
RbBa2NaS | Alexandria | PBE | relaxed; formation energy (no corrections) = -688 meV per atom; crystal system = tetragonal; density of states at the Fermi level = 0.7945 states/eV/atom
1.0
-2.6189 5.0689 2.4906
-5.6297 -2.5623 -0.7049
0.4891 -2.7631 6.1379
Rb S Ba Na
1 1 2 1
direct
0.0000 0.0000 0.5000
0.0000 0.0000 0.0000
0.0000 0.5000 0.0000
0.5000 0.0000 0.0000
0.5000 0.5000 0.5000

(6)
Rb2BaNa2Sb2 | Alexandria | PBE | relaxed; formation energy (no corrections) = -567 meV per atom; crystal system = trigonal
1.0
-1.4289 -5.0703 1.7575
2.1742 -4.4958 -2.4289
8.0060 -3.0542 6.4713
Na Ba Rb Sb
2 1 2 2
direct
0.6105 0.6105 0.1684
0.3895 0.3895 0.8316
0.0000 0.0000 0.0000
0.1315 0.1315 0.6055
0.8685 0.8685 0.3945
0.2673 0.2673 0.1982
0.7327 0.7327 0.8018

(7)
RbBa2Na2Sb2 | Alexandria | PBE | relaxed; formation energy (no corrections) = -591 meV per atom; crystal system = trigonal; density of states at the Fermi level = 0.1810 states/eV/atom
1.0
5.5102 0.0000 0.0000
2.7551 4.7720 0.0000
2.7551 1.5907 10.9649
Sb Na Ba Rb
2 2 2 1
direct
0.7502 0.7502 0.7494
0.2498 0.2498 0.2506
0.5964 0.5964 0.2107
0.4036 0.4036 0.7893
0.1301 0.1301 0.6096
0.8699 0.8699 0.3904
0.0000 0.0000 0.0000

(8)
Rb2BaNaSc | Alexandria | PBE | relaxed; crystal system = tetragonal; formation energy = 3.20 eV per formula unit; density of states at the Fermi level = 2.1016 states/eV/atom
1.0
6.7144 0.0000 0.0000
0.0000 6.6124 0.0000
0.0000 0.0000 6.7144
Na Ba Sc Rb
1 1 1 2
direct
0.0000 0.0000 0.0000
0.5000 0.5000 0.5000
0.0000 0.5000 0.0000
0.5000 0.0000 0.0000
0.0000 0.0000 0.5000

- Number 3 is which compound?
  RbBa2NaRh